(1)
DFT (PBE-GGA) results for NpNbNi10 after structural relaxation.

Values from the calculation:
E_form, eV/f.u.: -0.9
Crystal system: orthorhombic

```
data_NpNbNi10
_cell_length_a 3.963
_cell_length_b 4.739
_cell_length_c 8.249
_cell_angle_alpha 90.00
_cell_angle_beta 90.00
_cell_angle_gamma 90.00
_space_group_name_H-M_alt 'P m m m'
_space_group_IT_number 47
_space_group_name_Hall '-P 2 2'
loop_
_atom_site_label
_atom_site_type_symbol
_atom_site_fract_x
_atom_site_fract_y
_atom_site_fract_z
Np1 Np 0.000 0.000 0.000
Nb1 Nb 0.000 0.500 0.500
Ni1 Ni 0.000 0.000 0.340
Ni2 Ni 0.000 0.500 0.175
Ni3 Ni 0.500 0.000 0.500
Ni4 Ni 0.500 0.253 0.257
Ni5 Ni 0.500 0.500 0.000
```

(2)
DFT (PBE-GGA) results for CaSi2Ni after structural relaxation.

Values from the calculation:
Crystal system: monoclinic
Raw formation energy, kJ/mol of formula units: -131

```
data_CaSi2Ni
_cell_length_a 4.218
_cell_length_b 3.988
_cell_length_c 4.542
_cell_angle_alpha 90.00
_cell_angle_beta 106.04
_cell_angle_gamma 90.00
_space_group_name_H-M_alt 'P 1 2/m 1'
_space_group_IT_number 10
_space_group_name_Hall '-P 2y'
loop_
_atom_site_label
_atom_site_type_symbol
_atom_site_fract_x
_atom_site_fract_y
_atom_site_fract_z
Ca1 Ca 0.000 0.000 0.000
Si1 Si 0.311 0.500 0.653
Ni1 Ni 0.500 0.000 0.500
```

(3)
DFT (PBE-GGA) results for Pm3HoTl3 after structural relaxation.

Values from the calculation:
E_form, eV/f.u.: -1.9
Crystal system: cubic

```
data_Pm3HoTl3
_cell_length_a 9.497
_cell_length_b 9.497
_cell_length_c 9.497
_cell_angle_alpha 90.00
_cell_angle_beta 90.00
_cell_angle_gamma 90.00
_space_group_name_H-M_alt 'P 21 3'
_space_group_IT_number 198
_space_group_name_Hall 'P 2ac 2ab 3'
loop_
_atom_site_label
_atom_site_type_symbol
_atom_site_fract_x
_atom_site_fract_y
_atom_site_fract_z
Pm1 Pm 0.070 0.430 0.570
Pm2 Pm 0.174 0.826 0.326
Pm3 Pm 0.176 0.176 0.176
Ho1 Ho 0.074 0.574 0.926
Tl1 Tl 0.001 0.254 0.869
```